# YTaSnO2 (PBE-GGA, relaxed)
data_YTaSnO2
_chemical_formula_sum 'Y1 Ta1 Sn1 O2'
_cell_length_a 4.1132
_cell_length_b 4.1132
_cell_length_c 6.5664
_cell_angle_alpha 90.00
_cell_angle_beta 90.00
_cell_angle_gamma 90.00
_space_group_name_H-M_alt 'P 4/m m m'
_space_group_IT_number 123
_space_group_name_Hall '-P 4 2'
loop_
_atom_site_label
_atom_site_fract_x
_atom_site_fract_y
_atom_site_fract_z
Y1 0.0000 0.0000 0.0000
Ta1 0.5000 0.5000 0.0000
Sn1 0.0000 0.0000 0.5000
O1 0.0000 0.5000 0.5000
# final energy: -5.883 eV/atom
# size of the total moment: 0.16 μB/atom
# D(E_F): 5.15 states/eV per cell
# formation energy (no corrections): 0.56 eV/atom